Entry 1:
InCoIr after structural relaxation. Source: Alexandria, functional PBE.

Cell lengths 2.8821, 2.8821, 6.4766 Å; angles 90.00, 90.00, 120.00 degrees
Space group P3m1 (No. 156)
Asymmetric unit:
In 0.0000 0.0000 0.0000
Co 0.3333 0.6667 0.6640
Ir 0.6667 0.3333 0.3628

## Properties
Size of the total moment = 0.572 μB/atom
Energy relative to the elements = 0.286 eV/atom



Entry 2:
InCo2Ir after structural relaxation. Source: Alexandria, functional PBE.

Cell lengths 5.627, 7.074, 2.797 Å; angles 90.00, 90.00, 90.00 degrees
Space group Cmmm (No. 65)
Asymmetric unit:
In 0.000 0.000 0.000
Co 0.250 0.250 0.500
Ir 0.000 0.500 0.000

## Properties
Size of the total moment = 0.595 μB/atom
Energy relative to the elements = 0.192 eV/atom



Entry 3:
In2CoIr after structural relaxation. Source: Alexandria, functional PBE.

Cell lengths 8.629, 3.058, 5.301 Å; angles 90.00, 102.00, 90.00 degrees
Space group C2/m (No. 12)
Asymmetric unit:
In 0.247 0.000 0.244
Co 0.000 0.500 0.000
Ir 0.000 0.000 0.500

## Properties
Size of the total moment = 0.322 μB/atom
Energy relative to the elements = 0.226 eV/atom



Entry 4:
InCo2Ir after structural relaxation. Source: Alexandria, functional PBE.

Cell lengths 3.005, 4.356, 8.657 Å; angles 90.00, 90.00, 90.00 degrees
Space group Imm2 (No. 44)
Asymmetric unit:
In 0.000 0.000 0.000
Co 0.000 0.000 0.524
Co 0.000 0.500 0.243
Ir 0.000 0.500 0.771

## Properties
Size of the total moment = 0.897 μB/atom
Energy relative to the elements = 0.181 eV/atom



Entry 5:
InCo2Ir after structural relaxation. Source: Alexandria, functional PBE.

Cell lengths 2.8029, 2.8029, 25.5038 Å; angles 90.00, 90.00, 120.00 degrees
Space group R-3m (No. 166, hexagonal axes)
Asymmetric unit:
In 0.0000 0.0000 0.0000
Co 0.0000 0.0000 0.2459
Ir 0.0000 0.0000 0.5000

## Properties
Size of the total moment = 0.837 μB/atom
Energy relative to the elements = 0.328 eV/atom



Entry 6:
InCo2Ir after structural relaxation. Source: Alexandria, functional PBE.

Cell lengths 6.127, 6.127, 6.127 Å; angles 90.00, 90.00, 90.00 degrees
Space group F-43m (No. 216)
Asymmetric unit:
In 0.000 0.000 0.000
Co 0.000 0.000 0.500
Co 0.250 0.250 0.750
Ir 0.250 0.250 0.250

## Properties
Size of the total moment = 0.848 μB/atom
Energy relative to the elements = 0.197 eV/atom